VASP calculation (PBE) on a relaxed structure of DyY6Th8.

```
DyY6Th8
1.0
4.4290 2.5571 7.1976
-4.4290 2.5571 7.1976
0.0000 -5.1141 7.1976
Dy Y Th
1 6 8
Cartesian
0.0000 0.0000 0.0000
-2.0631 0.1696 6.2992
0.8846 -1.8715 6.2992
-1.1784 -1.7019 15.2936
1.1784 1.7019 6.2992
-0.8846 1.8715 15.2936
2.0631 -0.1696 15.2936
-2.4281 -2.1013 11.4473
-3.0339 1.0522 10.1455
0.6057 -3.1535 10.1455
0.0000 0.0000 9.1401
0.0000 0.0000 12.4527
-0.6057 3.1535 11.4473
3.0339 -1.0522 11.4473
2.4281 2.1013 10.1455
```

- DFT total energy: -6.7135 eV per atom
- Formation energy from the elements: 0.14 eV per atom
- SG: No. 148